## CoCuF5 (PBE with a Hubbard U)

Data for crystalline CoCuF5 at its relaxed geometry.

Results
As for the electronic total energy: -30.31 eV per cell.

Unit cell a=5.479 b=5.479 c=5.479 alpha=141.41 beta=108.93 gamma=83.91
Atoms (fractional coordinates):
Co (0.000, 0.000, 0.000)
Cu (0.500, 0.500, 0.000)
F (0.192, 0.500, 0.692)
F (0.217, 0.217, 0.000)
F (0.500, 0.000, 0.500)
F (0.783, 0.783, 0.000)
F (0.808, 0.500, 0.308)